This record from Alexandria via LeMat-Bulk describes a relaxed Tm4GeI5 crystal. The functional is PBE.

Structure (POSCAR):
```
Tm4GeI5
1.0
4.159 0.000 0.000
0.000 8.685 -0.393
-2.079 -1.630 9.295
Tm Ge I
4 1 5
Direct
0.354 0.927 0.708 Tm
0.000 0.791 0.000 Tm
0.646 0.073 0.292 Tm
0.000 0.209 0.000 Tm
0.500 0.000 0.000 Ge
0.834 0.665 0.668 I
0.828 0.170 0.656 I
0.172 0.830 0.344 I
0.500 0.500 0.000 I
0.166 0.335 0.332 I
```

Calculated values
As for the raw formation energy: -1.099 eV/atom.

=====

This record from Alexandria via LeMat-Bulk describes a relaxed Cd4In3Pb2 crystal. The functional is PBE.

Structure (POSCAR):
```
Cd4In3Pb2
1.0
3.363 0.000 0.000
-1.682 2.912 0.000
0.000 0.000 24.711
Cd In Pb
4 3 2
Direct
0.000 0.000 0.463 Cd
0.333 0.667 0.561 Cd
0.333 0.667 0.774 Cd
0.000 0.000 0.249 Cd
0.000 0.000 0.017 In
0.000 0.000 0.667 In
0.333 0.667 0.356 In
0.333 0.667 0.899 Pb
0.333 0.667 0.137 Pb
```

Calculated values
The energy relative to the elements is 0.0473 eV/atom. As for the relative energy among the computed polymorphs: 0.0000 eV per atom.

=====

This record from Alexandria via LeMat-Bulk describes a relaxed Y2TcNiP crystal. The functional is PBE.

Structure (POSCAR):
```
Y2TcNiP
1.0
5.171 0.000 0.000
0.000 4.320 0.000
0.000 0.000 5.171
Y Ni Tc P
2 1 1 1
Direct
0.000 0.000 0.500 Y
0.500 0.000 0.000 Y
0.000 0.000 0.000 Ni
0.000 0.500 0.000 Tc
0.500 0.500 0.500 P
```

Calculated values
The energy relative to the elements is 0.1784 eV/atom.

=====

This record from Alexandria via LeMat-Bulk describes a relaxed Pu3CO3 crystal. The functional is PBE.

Structure (POSCAR):
```
Pu3CO3
1.0
6.456 0.756 2.443
1.909 6.213 2.443
1.131 0.943 6.896
Pu C O
6 2 6
Direct
0.006 0.006 0.744 Pu
0.500 0.000 0.245 Pu
0.000 0.500 0.245 Pu
0.500 0.000 0.755 Pu
0.000 0.500 0.755 Pu
0.994 0.994 0.256 Pu
0.228 0.228 0.022 C
0.772 0.772 0.978 C
0.243 0.243 0.508 O
0.205 0.795 0.500 O
0.795 0.205 0.500 O
0.205 0.795 0.000 O
0.795 0.205 0.000 O
0.757 0.757 0.492 O
```

Calculated values
As for the raw formation energy: -1.919 eV/atom.

=====

| no. | M_tot (Bohr magnetons per cell) |
| --- | --- |
| 1 | 0.00 |
| 2 | 0.00 |
| 3 | 0.54 |
| 4 | 28.00 |